{"formula": "Ba2PaCuS6", "functional": "PBE", "state": "optimized geometry", "spacegroup": "P4/mmm", "energy_ev_per_atom": -5.5627, "mass_density_g_cm3": 4.93, "raw_formation_energy_ev_per_fu": -13.42, "lattice_angstrom": [[-2.585, 3.584, -2.671], [-2.592, -3.716, -2.478], [-6.780, 0.187, 6.812]], "species": ["S", "S", "S", "Cu", "Ba", "Ba", "S", "S", "Pa", "S"], "fractional_positions": [[0.500, 0.000, 0.000], [0.000, 0.500, 0.500], [0.000, 0.500, 0.000], [0.500, 0.500, 0.500], [0.000, 0.000, 0.286], [0.000, 0.000, 0.714], [0.500, 0.000, 0.500], [0.500, 0.500, 0.265], [0.500, 0.500, 0.000], [0.500, 0.500, 0.735]]}